(1)
Compound: NaNpSe2O8
Source: the Alexandria database
Functional: PBE
Structure: relaxed

Cell: 6.2511 6.2511 6.5292 Å, 90.00 90.00 120.00°
Atoms (fractional coordinates):
Na 0.0000 0.0000 0.0000
Np 0.0000 0.0000 0.5000
Se 0.3333 0.6667 0.2675
Se 0.6667 0.3333 0.7325
O 0.1484 0.2969 0.3098
O 0.1484 0.8516 0.3098
O 0.2969 0.1484 0.6902
O 0.3333 0.6667 0.0188
O 0.6667 0.3333 0.9812
O 0.7031 0.8516 0.3098
O 0.8516 0.1484 0.6902
O 0.8516 0.7031 0.6902

Properties
- Fermi-level density of states (states/eV per cell) = 2.2
- ΔE_f (raw) (kJ/mol of atoms) = -133
- space group = P-3m1, No. 164

(2)
Compound: Pu2Pa3O9
Source: the Alexandria database
Functional: PBE
Structure: relaxed

Cell: 13.9606 13.9606 13.9606 Å, 164.13 164.13 22.52°
Atoms (fractional coordinates):
Pu 0.1991 0.1991 0.0000
Pu 0.8009 0.8009 0.0000
Pa 0.0000 0.0000 0.0000
Pa 0.3979 0.3979 0.0000
Pa 0.6021 0.6021 0.0000
O 0.0506 0.5506 0.5000
O 0.1500 0.6500 0.5000
O 0.3500 0.8500 0.5000
O 0.4494 0.9494 0.5000
O 0.5483 0.0483 0.5000
O 0.6453 0.1453 0.5000
O 0.7500 0.2500 0.5000
O 0.8547 0.3547 0.5000
O 0.9517 0.4517 0.5000

Properties
- Fermi-level density of states (states/eV per cell) = 18.7
- ΔE_f (raw) (kJ/mol of atoms) = -326
- space group = I-4m2, No. 119

(3)
Compound: ZrFe2Pt
Source: the Alexandria database
Functional: PBE
Structure: relaxed

Cell: 4.9044 4.9044 4.9044 Å, 133.66 133.66 67.62°
Atoms (fractional coordinates):
Zr 0.0000 0.0000 0.0000
Fe 0.2500 0.7500 0.5000
Fe 0.5000 0.5000 0.0000
Pt 0.7500 0.2500 0.5000

Properties
- Fermi-level density of states (states/eV per cell) = 4.1
- formation energy (eV per atom) = -0.340
- space group = I-4m2, No. 119

(4)
Compound: LaMnN3
Source: the Alexandria database
Functional: PBE
Structure: relaxed

Cell: 5.3052 8.7946 5.8335 Å, 90.00 90.00 90.00°
Atoms (fractional coordinates):
La 0.0000 0.0000 0.0000
La 0.0000 0.5000 0.0000
La 0.5000 0.0000 0.5000
La 0.5000 0.5000 0.5000
Mn 0.9997 0.2500 0.4427
Mn 0.0003 0.7500 0.5573
Mn 0.4997 0.2500 0.0573
Mn 0.5003 0.7500 0.9427
N 0.0000 0.0581 0.5753
N 0.0000 0.4419 0.5753
N 0.0000 0.5581 0.4247
N 0.0000 0.9419 0.4247
N 0.2492 0.2500 0.2495
N 0.2508 0.7500 0.7495
N 0.5000 0.0581 0.9247
N 0.5000 0.4419 0.9247
N 0.5000 0.5581 0.0753
N 0.5000 0.9419 0.0753
N 0.7492 0.2500 0.2505
N 0.7508 0.7500 0.7505

Properties
- Fermi-level density of states (states/eV per cell) = 10.4
- ΔE_f (raw) (kJ/mol of atoms) = -59
- space group = Pnma, No. 62